This record from Alexandria describes a relaxed structure of Fe2OF3. The functional is PBE+U.

```
Fe2OF3
1.0
-1.609 3.999 -2.174
-1.076 1.750 4.369
14.163 6.235 0.990
O F Fe
5 15 10
direct
0.325 0.325 0.296
0.669 0.669 0.096
0.669 0.669 0.904
0.325 0.325 0.704
0.318 0.318 0.500
0.292 0.292 0.096
0.201 0.777 0.000
0.205 0.792 0.197
0.709 0.709 0.298
0.205 0.792 0.803
0.223 0.802 0.399
0.792 0.205 0.803
0.792 0.205 0.197
0.802 0.223 0.399
0.705 0.705 0.500
0.802 0.223 0.601
0.709 0.709 0.702
0.292 0.292 0.904
0.223 0.802 0.601
0.777 0.201 0.000
0.502 0.502 0.197
0.502 0.502 0.803
0.498 0.498 0.000
0.967 0.967 0.903
0.027 0.027 0.298
0.481 0.481 0.399
0.481 0.481 0.601
0.018 0.018 0.500
0.967 0.967 0.097
0.027 0.027 0.702
```

Results
Polymorph energy (0 for the lowest one): 0.074 eV per atom

***

This record from Alexandria describes a relaxed structure of Fe2OF3. The functional is PBE+U.

```
Fe2OF3
1.0
4.725 0.000 0.000
0.000 5.738 -0.045
0.000 1.284 10.697
F Fe O
12 8 4
direct
0.777 0.494 0.681
0.277 0.506 0.819
0.684 0.228 0.899
0.721 0.993 0.679
0.184 0.772 0.601
0.221 0.007 0.821
0.316 0.772 0.101
0.816 0.228 0.399
0.779 0.993 0.179
0.279 0.007 0.321
0.223 0.506 0.319
0.723 0.494 0.181
0.500 0.000 0.500
0.000 0.000 0.000
0.500 0.500 0.000
0.531 0.744 0.268
0.000 0.500 0.500
0.969 0.744 0.768
0.469 0.256 0.732
0.031 0.256 0.232
0.805 0.729 0.924
0.695 0.729 0.424
0.195 0.271 0.076
0.305 0.271 0.576
```

Results
Polymorph energy (0 for the lowest one): 0.017 eV per atom

***

This record from Alexandria describes a relaxed structure of Fe6O5F7. The functional is PBE+U.

```
Fe6O5F7
1.0
4.711 0.005 -0.014
0.278 5.616 -0.039
0.269 0.604 7.809
Fe O F
6 5 7
direct
0.468 0.174 0.355
0.524 0.824 0.648
0.996 0.990 0.999
0.000 0.336 0.672
0.984 0.664 0.314
0.525 0.511 0.008
0.305 0.460 0.233
0.698 0.878 0.429
0.803 0.692 0.099
0.289 0.131 0.578
0.706 0.533 0.765
0.798 0.047 0.761
0.805 0.371 0.443
0.197 0.307 0.895
0.192 0.624 0.566
0.203 0.962 0.238
0.318 0.802 0.888
0.689 0.195 0.107
```

Results
Polymorph energy (0 for the lowest one): 0.115 eV per atom

***

This record from Alexandria describes a relaxed structure of Fe3O5F. The functional is PBE+U.

```
Fe3O5F
1.0
-0.304 10.129 -1.721
-2.814 -9.178 -3.676
-2.589 0.182 1.528
O F Fe
10 2 6
direct
0.303 0.303 0.000
0.645 0.970 0.000
0.740 0.260 0.500
0.260 0.740 0.500
0.063 0.937 0.500
0.937 0.063 0.500
0.970 0.645 0.000
0.030 0.355 0.000
0.355 0.030 0.000
0.697 0.697 0.000
0.606 0.394 0.500
0.394 0.606 0.500
0.679 0.321 0.000
0.162 0.838 0.500
0.500 0.500 0.500
0.838 0.162 0.500
0.321 0.679 0.000
0.000 0.000 0.000
```

Results
Polymorph energy (0 for the lowest one): 0.110 eV per atom

***

no.,VASP energy (eV per atom)
1,-5.7084
2,-5.7657
3,-5.8052
4,-6.0146